Record 1
# Ac4NiPS2

A relaxed Ac4NiPS2 crystal (GGA-PBE, Alexandria via LeMat-Bulk).

Computed properties:
energy	-0.2155	Ha/atom
D(E_F)	0.763	states/eV/atom
calculated volume	29.38	Å³ per atom
uncorrected formation energy	-1.378	eV per atom
total magnetic moment	0.00	μB per formula unit

CIF file:
```
data_Ac4NiPS2
_chemical_formula_sum 'Ac4 Ni1 P1 S2'
_space_group_name_H-M_alt 'P 1 2/m 1'
_space_group_IT_number 10
_space_group_name_Hall '-P 2y'
_cell_length_a 7.593
_cell_length_b 4.301
_cell_length_c 7.605
_cell_angle_alpha 90.00
_cell_angle_beta 108.85
_cell_angle_gamma 90.00
loop_
_atom_site_label
_atom_site_type_symbol
_atom_site_fract_x
_atom_site_fract_y
_atom_site_fract_z
_atom_site_occupancy
Ac1 Ac 0.240 0.000 0.243 1
Ac2 Ac 0.246 0.500 0.749 1
Ni1 Ni 0.000 0.500 0.000 1
P1 P 0.000 0.000 0.500 1
S1 S 0.500 0.000 0.000 1
S2 S 0.500 0.500 0.500 1
```

Record 2
# BeGa2Ir3

A relaxed BeGa2Ir3 crystal (GGA-PBE, Alexandria via LeMat-Bulk).

Computed properties:
energy	-0.2401	Ha/atom
D(E_F)	0.120	states/eV/atom
calculated volume	13.19	Å³ per atom
energy relative to the elements	-10.9	kcal/mol of atoms
total magnetic moment	0.00	μB per formula unit

CIF file:
```
data_BeGa2Ir3
_chemical_formula_sum 'Be1 Ga2 Ir3'
_space_group_name_H-M_alt 'P 4/m m m'
_space_group_IT_number 123
_space_group_name_Hall '-P 4 2'
_cell_length_a 2.981
_cell_length_b 2.981
_cell_length_c 8.909
_cell_angle_alpha 90.00
_cell_angle_beta 90.00
_cell_angle_gamma 90.00
loop_
_atom_site_label
_atom_site_type_symbol
_atom_site_fract_x
_atom_site_fract_y
_atom_site_fract_z
_atom_site_occupancy
Be1 Be 0.000 0.000 0.000 1
Ga1 Ga 0.000 0.000 0.322 1
Ir1 Ir 0.500 0.500 0.154 1
Ir2 Ir 0.500 0.500 0.500 1
```

- What is the formula in the first record?
  Ac4NiPS2

- Look up the D(E_F) of the second one.
  0.120 states/eV/atom

- Which value of D(E_F) does entry 2 give?
  0.120 states/eV/atom